# 1
DFT (PBE-GGA) results for an optimized crystal structure of KSm2PtO5.

```
KSm2PtO5
1.0
5.8907 0.0000 0.0000
0.0000 6.7654 0.0000
0.0000 0.0000 6.7654
K Sm Pt O
2 4 2 10
direct
0.0000 0.5000 0.5000 K
0.0000 0.0000 0.0000 K
0.5000 0.6768 0.1768 Sm
0.5000 0.1768 0.3232 Sm
0.5000 0.8232 0.6768 Sm
0.5000 0.3232 0.8232 Sm
0.0000 0.0000 0.5000 Pt
0.0000 0.5000 0.0000 Pt
0.5000 0.5000 0.5000 O
0.5000 0.0000 0.0000 O
0.2581 0.1341 0.6341 O
0.2581 0.8659 0.3659 O
0.2581 0.3659 0.1341 O
0.2581 0.6341 0.8659 O
0.7419 0.1341 0.6341 O
0.7419 0.6341 0.8659 O
0.7419 0.8659 0.3659 O
0.7419 0.3659 0.1341 O
```

Values from the calculation:
The uncorrected formation energy comes out at -2.28 eV per atom.


# 2
DFT (PBE-GGA) results for an optimized crystal structure of Mg4Cd2Pb.

```
Mg4Cd2Pb
1.0
4.7101 0.0000 1.4716
2.1252 4.2034 1.4716
-0.1351 -0.0831 8.7062
Mg Cd Pb
4 2 1
direct
0.8693 0.8693 0.3921 Mg
0.1307 0.1307 0.6079 Mg
0.6079 0.6079 0.1763 Mg
0.3921 0.3921 0.8237 Mg
0.7526 0.7526 0.7423 Cd
0.2474 0.2474 0.2577 Cd
0.0000 0.0000 0.0000 Pb
```

Values from the calculation:
The calculation puts the energy above the most stable polymorph in this dataset at 19.1 meV/atom. The formation energy comes out at -0.015 eV/atom.


# 3
DFT (PBE-GGA) results for an optimized crystal structure of TlAg2PdN.

```
TlAg2PdN
1.0
4.2298 0.0000 0.0000
0.0000 5.0990 0.0000
0.0000 0.0000 4.2298
Tl Pd Ag N
1 1 2 1
direct
0.0000 0.5000 0.0000 Tl
0.5000 0.5000 0.5000 Pd
0.0000 0.0000 0.5000 Ag
0.5000 0.0000 0.0000 Ag
0.0000 0.0000 0.0000 N
```

Values from the calculation:
The uncorrected formation energy comes out at 0.59 eV per atom.


# 4
DFT (PBE-GGA) results for an optimized crystal structure of ZnCrNi5.

```
ZnCrNi5
1.0
3.5776 0.0000 0.0000
0.0000 3.5777 0.0000
0.0000 0.0000 6.6251
Zn Cr Ni
1 1 5
direct
0.0000 0.0000 0.5000 Zn
0.5000 0.5000 0.0000 Cr
0.0000 0.5000 0.7766 Ni
0.0000 0.5000 0.2234 Ni
0.5000 0.0000 0.7766 Ni
0.5000 0.0000 0.2234 Ni
0.5000 0.5000 0.5000 Ni
```

Values from the calculation:
The calculation puts the energy above the most stable polymorph in this dataset at 154.9 meV/atom. The formation energy comes out at 0.205 eV/atom.


# 5
DFT (PBE-GGA) results for an optimized crystal structure of DyGaCu11.

```
DyGaCu11
1.0
-3.9219 -2.8435 0.0779
1.3685 -5.9512 -2.3116
-0.5356 -3.2365 5.5549
Dy Ga Cu
1 1 11
direct
0.0000 0.0000 0.0000 Dy
0.5000 0.5000 0.0000 Ga
0.2817 0.2191 0.2224 Cu
0.7183 0.7809 0.7776 Cu
0.4959 0.7809 0.2224 Cu
0.5041 0.2191 0.7776 Cu
0.3445 0.6487 0.6410 Cu
0.6555 0.3513 0.3590 Cu
0.0145 0.3513 0.6410 Cu
0.9855 0.6487 0.3590 Cu
0.0000 0.5000 0.0000 Cu
0.5000 0.0000 0.5000 Cu
0.0000 0.0000 0.5000 Cu
```

Values from the calculation:
The formation energy comes out at -0.123 eV/atom.


# 6
DFT (PBE-GGA) results for an optimized crystal structure of LiPr2PaS4.

```
LiPr2PaS4
1.0
3.9773 0.0000 0.0000
0.0000 6.8980 0.1362
0.0000 -2.3965 6.4357
Li Pr Pa S
1 2 1 4
direct
0.0000 0.0000 0.0000 Li
0.5000 0.0000 0.5000 Pr
0.0000 0.5000 0.5000 Pr
0.5000 0.5000 0.0000 Pa
0.5000 0.2415 0.2266 S
0.5000 0.7585 0.7734 S
0.0000 0.2510 0.7707 S
0.0000 0.7490 0.2293 S
```

Values from the calculation:
The uncorrected formation energy comes out at -1.77 eV per atom.


# 7
DFT (PBE-GGA) results for an optimized crystal structure of MgFe.

```
MgFe
1.0
5.2079 0.0000 0.0000
0.0000 5.2079 0.0000
0.0000 0.0000 5.2091
Mg Fe
4 4
direct
0.6853 0.3147 0.0000 Mg
0.1853 0.1853 0.5000 Mg
0.8147 0.8147 0.5000 Mg
0.3147 0.6853 0.0000 Mg
0.8401 0.8401 0.0000 Fe
0.3401 0.6599 0.5000 Fe
0.6599 0.3401 0.5000 Fe
0.1599 0.1599 0.0000 Fe
```

Values from the calculation:
The formation energy comes out at 0.694 eV/atom.


# 8
DFT (PBE-GGA) results for an optimized crystal structure of LaAuC.

```
LaAuC
1.0
-1.5756 -2.4872 3.9616
1.1020 -2.4221 -4.1572
5.2249 -0.5726 1.7186
C Au La
2 2 2
direct
0.3333 0.6667 0.7500 C
0.6667 0.3333 0.2500 C
0.0000 0.0000 0.0000 Au
0.0000 0.0000 0.5000 Au
0.3333 0.6667 0.2500 La
0.6667 0.3333 0.7500 La
```

Values from the calculation:
The formation energy comes out at 0.414 eV/atom.